RbBrN2 | PBE | optimized geometry

POSCAR file:
```
RbBrN2
1.0
-5.813 4.494 -0.408
-3.502 5.569 3.298
-2.101 7.015 -0.724
Br N Rb
1 2 1
Cartesian
0.000 0.000 0.000 Br
-10.427 15.598 1.978 N
-0.989 1.480 0.188 N
-5.708 8.539 1.083 Rb
```

E_form (uncorrected)   1488.9 meV per atom
E above lowest polymorph   2.3007 eV per atom
E   -13.3 eV per cell